Record 1
The following is a DFT calculation (PBE) of a geometry-optimized ScBeInFe structure.

- spin magnetization (μB per formula unit) = 1.578
- symmetry = F-43m, No. 216
- E (eV per cell) = -80.94
- V (Å³/cell) = 245.7
- energy above the lowest structure with this stoichiometry (meV/atom) = 146

a = 6.2629 Å, b = 6.2629 Å, c = 6.2629 Å
α = 90.00°, β = 90.00°, γ = 90.00°
Positions (direct):
Sc (0.0000, 0.0000, 0.0000)
Sc (0.0000, 0.5000, 0.5000)
Sc (0.5000, 0.0000, 0.5000)
Sc (0.5000, 0.5000, 0.0000)
Be (0.0000, 0.0000, 0.5000)
Be (0.0000, 0.5000, 0.0000)
Be (0.5000, 0.0000, 0.0000)
Be (0.5000, 0.5000, 0.5000)
In (0.2500, 0.2500, 0.7500)
In (0.2500, 0.7500, 0.2500)
In (0.7500, 0.2500, 0.2500)
In (0.7500, 0.7500, 0.7500)
Fe (0.2500, 0.2500, 0.2500)
Fe (0.2500, 0.7500, 0.7500)
Fe (0.7500, 0.2500, 0.7500)
Fe (0.7500, 0.7500, 0.2500)

Record 2
The following is a DFT calculation (PBE) of a geometry-optimized ScBeInFe structure.

- spin magnetization (μB per formula unit) = 1.659
- symmetry = F-43m, No. 216
- E (eV per cell) = -82.40
- V (Å³/cell) = 245.8
- energy above the lowest structure with this stoichiometry (meV/atom) = 55

a = 6.2641 Å, b = 6.2641 Å, c = 6.2641 Å
α = 90.00°, β = 90.00°, γ = 90.00°
Positions (direct):
Sc (0.0000, 0.0000, 0.0000)
Sc (0.0000, 0.5000, 0.5000)
Sc (0.5000, 0.0000, 0.5000)
Sc (0.5000, 0.5000, 0.0000)
Be (0.2500, 0.2500, 0.2500)
Be (0.2500, 0.7500, 0.7500)
Be (0.7500, 0.2500, 0.7500)
Be (0.7500, 0.7500, 0.2500)
In (0.2500, 0.2500, 0.7500)
In (0.2500, 0.7500, 0.2500)
In (0.7500, 0.2500, 0.2500)
In (0.7500, 0.7500, 0.7500)
Fe (0.0000, 0.0000, 0.5000)
Fe (0.0000, 0.5000, 0.0000)
Fe (0.5000, 0.0000, 0.0000)
Fe (0.5000, 0.5000, 0.5000)

Record 3
The following is a DFT calculation (PBE) of a geometry-optimized TaBeInFe structure.

- spin magnetization (μB per formula unit) = 0.002
- symmetry = F-43m, No. 216
- E (eV per cell) = -100.18
- V (Å³/cell) = 234.9
- energy above the lowest structure with this stoichiometry (meV/atom) = 296

a = 6.1699 Å, b = 6.1699 Å, c = 6.1699 Å
α = 90.00°, β = 90.00°, γ = 90.00°
Positions (direct):
Ta (0.0000, 0.0000, 0.0000)
Ta (0.0000, 0.5000, 0.5000)
Ta (0.5000, 0.0000, 0.5000)
Ta (0.5000, 0.5000, 0.0000)
Be (0.0000, 0.0000, 0.5000)
Be (0.0000, 0.5000, 0.0000)
Be (0.5000, 0.0000, 0.0000)
Be (0.5000, 0.5000, 0.5000)
In (0.2500, 0.2500, 0.2500)
In (0.2500, 0.7500, 0.7500)
In (0.7500, 0.2500, 0.7500)
In (0.7500, 0.7500, 0.2500)
Fe (0.2500, 0.2500, 0.7500)
Fe (0.2500, 0.7500, 0.2500)
Fe (0.7500, 0.2500, 0.2500)
Fe (0.7500, 0.7500, 0.7500)

Record 4
The following is a DFT calculation (PBE) of a geometry-optimized TaBeInFe structure.

- spin magnetization (μB per formula unit) = 2.015
- symmetry = F-43m, No. 216
- E (eV per cell) = -97.86
- V (Å³/cell) = 244.3
- energy above the lowest structure with this stoichiometry (meV/atom) = 440

a = 6.2511 Å, b = 6.2511 Å, c = 6.2511 Å
α = 90.00°, β = 90.00°, γ = 90.00°
Positions (direct):
Ta (0.0000, 0.0000, 0.0000)
Ta (0.0000, 0.5000, 0.5000)
Ta (0.5000, 0.0000, 0.5000)
Ta (0.5000, 0.5000, 0.0000)
Be (0.2500, 0.2500, 0.7500)
Be (0.2500, 0.7500, 0.2500)
Be (0.7500, 0.2500, 0.2500)
Be (0.7500, 0.7500, 0.7500)
In (0.2500, 0.2500, 0.2500)
In (0.2500, 0.7500, 0.7500)
In (0.7500, 0.2500, 0.7500)
In (0.7500, 0.7500, 0.2500)
Fe (0.0000, 0.0000, 0.5000)
Fe (0.0000, 0.5000, 0.0000)
Fe (0.5000, 0.0000, 0.0000)
Fe (0.5000, 0.5000, 0.5000)